[1]
The following is a DFT calculation (PBE) of a geometry-optimized Nd3HoSb2 structure.

abc: 9.0386 9.0386 9.0386
angles: 132.95 72.84 127.86
Last column: nearest neighbours and their distance in Å.
Fractional coordinates of all 12 atoms:
Nd 0.0406 0.7500 0.2906  4 Sb 3.18-3.19
Nd 0.2500 0.2500 0.0000  4 Sb 3.17
Nd 0.4594 0.7500 0.7094  4 Sb 3.18-3.19
Nd 0.5406 0.2500 0.2906  4 Sb 3.18-3.19
Nd 0.7500 0.7500 0.0000  4 Sb 3.17
Nd 0.9594 0.2500 0.7094  4 Sb 3.18-3.19
Ho 0.0000 0.5000 0.5000  2 Sb 3.11
Ho 0.5000 0.0000 0.5000  2 Sb 3.11
Sb 0.1443 0.1816 0.3259  1 Ho 3.11, 6 Nd 3.17-3.19
Sb 0.3557 0.6816 0.0373  1 Ho 3.11, 6 Nd 3.17-3.19
Sb 0.6443 0.3184 0.9627  1 Ho 3.11, 6 Nd 3.17-3.19
Sb 0.8557 0.8184 0.6741  1 Ho 3.11, 6 Nd 3.17-3.19

Output
E_form (uncorrected) = -0.612 eV/atom



[2]
The following is a DFT calculation (PBE) of a geometry-optimized CdAs2IBr structure.

abc: 5.3703 5.3703 5.3120
angles: 90.00 90.00 90.00
Last column: nearest neighbours and their distance in Å.
Fractional coordinates of all 5 atoms:
Cd 0.0000 0.0000 0.0000  2 Br 2.66, 4 As 2.69
As 0.0000 0.5000 0.0000  2 Cd 2.69
As 0.5000 0.0000 0.0000  2 Cd 2.69
I 0.5000 0.5000 0.5000  8 As 3.78, 4 Br 3.80
Br 0.0000 0.0000 0.5000  2 Cd 2.66

Output
E_form (uncorrected) = 0.590 eV/atom